No. 1
## K2MgRh (PBE-GGA)

Data for K2MgRh after structural relaxation.

Properties
**Final energy**: -2.337 eV/atom
**Volume**: 107.0 Å³ per cell

a b c (Å): 5.3283 5.3283 5.3283
angles (deg): 60.00 60.00 60.00
With the nearest neighbours (Å) after each atom.
Fractional positions:
K  0.0000  0.0000  0.0000  4 Rh 3.26, 4 K 3.26
K  0.2500  0.2500  0.2500  4 K 3.26, 4 Mg 3.26
Mg  0.5000  0.5000  0.5000  4 Rh 3.26, 4 K 3.26
Rh  0.7500  0.7500  0.7500  4 K 3.26, 4 Mg 3.26

---

No. 2
## K2MgRh (PBE-GGA)

Data for K2MgRh after structural relaxation.

Properties
**Final energy**: -2.587 eV/atom
**Volume**: 153.4 Å³ per cell

a b c (Å): 4.5141 4.5141 9.0693
angles (deg): 103.78 103.78 59.70
With the nearest neighbours (Å) after each atom.
Fractional positions:
K  0.0000  0.0000  0.0000  3 Rh 3.49-3.50, 3 Mg 3.49-3.50
K  0.1698  0.1698  0.5342  3 Rh 3.49-3.50, 3 Mg 3.49-3.50
Mg  0.7518  0.7518  0.2671  3 Rh 2.60
Rh  0.4193  0.4193  0.2671  3 Mg 2.60

---

No. 3
## K3MgRh (PBE-GGA)

Data for K3MgRh after structural relaxation.

Properties
**Final energy**: -1.837 eV/atom
**Volume**: 229.0 Å³ per cell

a b c (Å): 6.1180 6.1180 6.1180
angles (deg): 90.00 90.00 90.00
With the nearest neighbours (Å) after each atom.
Fractional positions:
K  0.0000  0.0000  0.5000  2 Rh 3.06
K  0.0000  0.5000  0.0000  2 Rh 3.06
K  0.5000  0.0000  0.0000  2 Rh 3.06
Mg  0.5000  0.5000  0.5000  12 K 4.33
Rh  0.0000  0.0000  0.0000  6 K 3.06

---

No. 4
## KMgRh (PBE-GGA)

Data for KMgRh after structural relaxation.

Properties
**Final energy**: -2.830 eV/atom
**Volume**: 78.1 Å³ per cell
**Polymorph energy (0 for the lowest one)**: 424 meV/atom

a b c (Å): 4.7983 4.7983 4.7983
angles (deg): 60.00 60.00 60.00
With the nearest neighbours (Å) after each atom.
Fractional positions:
K  0.0000  0.0000  0.0000  4 Rh 2.94
Mg  0.5000  0.5000  0.5000  4 Rh 2.94
Rh  0.7500  0.7500  0.7500  4 K 2.94, 4 Mg 2.94

---

No. 5
## KMgRh2 (PBE-GGA)

Data for KMgRh2 after structural relaxation.

Properties
**Final energy**: -4.145 eV/atom
**Volume**: 89.5 Å³ per cell

a b c (Å): 3.2571 3.2571 8.4413
angles (deg): 90.00 90.00 90.00
With the nearest neighbours (Å) after each atom.
Fractional positions:
K  0.0000  0.0000  0.0000  4 K 3.26, 4 Rh 3.35
Mg  0.5000  0.5000  0.3895  5 Rh 2.73-2.75
Rh  0.0000  0.0000  0.5665  4 Rh 2.61, 4 Mg 2.75
Rh  0.5000  0.5000  0.7123  4 Rh 2.61, 1 Mg 2.73

---

No. 6
## KMgRh3 (PBE-GGA)

Data for KMgRh3 after structural relaxation.

Properties
**Final energy**: -3.124 eV/atom
**Volume**: 106.5 Å³ per cell
**Polymorph energy (0 for the lowest one)**: 834 meV/atom

a b c (Å): 4.7397 4.7397 4.7397
angles (deg): 90.00 90.00 90.00
With the nearest neighbours (Å) after each atom.
Fractional positions:
K  0.0000  0.0000  0.0000  6 Rh 2.37
Mg  0.5000  0.5000  0.5000  12 Rh 3.35
Rh  0.0000  0.0000  0.5000  2 K 2.37
Rh  0.0000  0.5000  0.0000  2 K 2.37
Rh  0.5000  0.0000  0.0000  2 K 2.37

---

No. 7
## KMgRh2 (PBE-GGA)

Data for KMgRh2 after structural relaxation.

Properties
**Final energy**: -3.954 eV/atom
**Volume**: 73.2 Å³ per cell

a b c (Å): 5.6790 5.6790 5.6790
angles (deg): 149.93 126.42 62.67
With the nearest neighbours (Å) after each atom.
Fractional positions:
K  0.0000  0.0000  0.0000  2 K 2.95, 4 Mg 2.95, 4 Rh 3.04
Mg  0.5000  0.5000  0.0000  4 Rh 2.64, 2 Mg 2.95, 4 K 2.95
Rh  0.2738  0.7738  0.5000  2 Mg 2.64, 2 Rh 2.95
Rh  0.7262  0.2262  0.5000  2 Mg 2.64, 2 Rh 2.95

---

No. 8
## KMgRh2 (PBE-GGA)

Data for KMgRh2 after structural relaxation.

Properties
**Final energy**: -3.806 eV/atom
**Volume**: 72.9 Å³ per cell

a b c (Å): 3.0282 4.8164 4.9975
angles (deg): 90.00 90.00 90.00
With the nearest neighbours (Å) after each atom.
Fractional positions:
K  0.0000  0.0000  0.0000  4 Rh 2.84, 4 Mg 2.92, 2 K 3.03
Mg  0.5000  0.0000  0.5000  4 Rh 2.84, 4 K 2.92, 2 Mg 3.03
Rh  0.0000  0.5000  0.5000  4 Mg 2.84, 6 Rh 2.92-3.03
Rh  0.5000  0.5000  0.0000  4 K 2.84, 6 Rh 2.92-3.03

---

No. 9
## KMgRh (PBE-GGA)

Data for KMgRh after structural relaxation.

Properties
**Final energy**: -2.181 eV/atom
**Volume**: 81.1 Å³ per cell
**Polymorph energy (0 for the lowest one)**: 1073 meV/atom

a b c (Å): 4.8589 4.8589 4.8589
angles (deg): 60.00 60.00 60.00
With the nearest neighbours (Å) after each atom.
Fractional positions:
K  0.0000  0.0000  0.0000  4 Mg 2.98, 4 Rh 2.98
Mg  0.7500  0.7500  0.7500  4 K 2.98
Rh  0.2500  0.2500  0.2500  4 K 2.98

---

No. 10
## KMgRh (PBE-GGA)

Data for KMgRh after structural relaxation.

Properties
**Final energy**: -3.254 eV/atom
**Volume**: 75.1 Å³ per cell
**Polymorph energy (0 for the lowest one)**: 0 meV/atom

a b c (Å): 6.5542 6.5542 6.5542
angles (deg): 148.86 148.86 44.62
With the nearest neighbours (Å) after each atom.
Fractional positions:
K  0.0000  0.0000  0.0000  1 Mg 3.24, 4 K 3.52, 5 Rh 3.54-3.55
Mg  0.7329  0.7329  0.0000  4 Rh 2.59
Rh  0.2918  0.2918  0.0000  4 Mg 2.59

---

No. 11
## K2MgRh (PBE-GGA)

Data for K2MgRh after structural relaxation.

Properties
**Final energy**: -2.473 eV/atom
**Volume**: 129.4 Å³ per cell

a b c (Å): 6.1734 6.1734 6.1734
angles (deg): 137.75 123.20 73.27
With the nearest neighbours (Å) after each atom.
Fractional positions:
K  0.0000  0.0000  0.0000  4 K 3.52-3.74, 4 Rh 3.57-3.65, 4 Mg 3.82
K  0.6960  0.1960  0.5000  4 K 3.52-3.74, 4 Mg 3.56-3.69, 4 Rh 3.78
Mg  0.3990  0.3990  0.0000  2 Rh 2.51
Rh  0.2819  0.7819  0.5000  2 Mg 2.51

---

No. 12
## K2MgRh (PBE-GGA)

Data for K2MgRh after structural relaxation.

Properties
**Final energy**: -2.263 eV/atom
**Volume**: 105.0 Å³ per cell

a b c (Å): 3.8583 4.7935 5.6764
angles (deg): 90.00 90.00 90.00
With the nearest neighbours (Å) after each atom.
Fractional positions:
K  0.0000  0.0000  0.0000  4 K 3.08, 4 Rh 3.43
K  0.5000  0.5000  0.0000  4 K 3.08, 4 Mg 3.43
Mg  0.0000  0.5000  0.5000  4 Rh 3.08, 4 K 3.43
Rh  0.5000  0.0000  0.5000  4 Mg 3.08, 4 K 3.43

---

| no. | ρ (g cm⁻³) |
| --- | --- |
| 1 | 3.189 |
| 2 | 2.223 |
| 3 | 1.773 |
| 4 | 3.535 |
| 5 | 4.992 |
| 6 | 5.804 |
| 7 | 6.109 |
| 8 | 6.133 |
| 9 | 3.405 |
| 10 | 3.679 |
| 11 | 2.635 |
| 12 | 3.249 |